[1]
DFT (PBE) results for a relaxed CaP2Ir crystal. Values from VASP.

The structure in Quantum ESPRESSO input format:
```
&SYSTEM
  ibrav = 0, nat = 4, ntyp = 3
/
ATOMIC_SPECIES
Ca 40.08 Ca.upf
P 30.97 P.upf
Ir 192.22 Ir.upf
CELL_PARAMETERS angstrom
-1.7110 1.7157 6.2180
1.7110 -1.7157 6.2180
1.7110 1.7157 -6.2180
ATOMIC_POSITIONS angstrom
Ca 0.0000 0.0000 0.0000
P 0.0000 0.0000 7.7341
P 0.0000 1.7157 3.9255
Ir 1.7110 0.0000 3.1082
```

Properties
- Energy of formation: -1.75 eV/f.u.
- Magnetic moment: 0.0 Bohr magnetons per cell
- Polymorph energy (0 for the lowest one): 0.342 eV per atom
- Crystal system: orthorhombic
- Symmetry: Imm2

[2]
DFT (PBE) results for a relaxed CaP2Ir crystal. Values from VASP.

The structure in Quantum ESPRESSO input format:
```
&SYSTEM
  ibrav = 0, nat = 4, ntyp = 3
/
ATOMIC_SPECIES
Ca 40.08 Ca.upf
P 30.97 P.upf
Ir 192.22 Ir.upf
CELL_PARAMETERS angstrom
3.6304 0.0000 0.0000
0.0000 4.2456 0.0000
0.0000 0.0000 4.2585
ATOMIC_POSITIONS angstrom
Ca 0.0000 0.0000 0.0000
P 1.8152 0.0000 2.1292
P 1.8152 2.1228 0.0000
Ir 0.0000 2.1228 2.1292
```

Properties
- Energy of formation: -0.34 eV/f.u.
- Magnetic moment: 0.0 Bohr magnetons per cell
- Polymorph energy (0 for the lowest one): 0.695 eV per atom
- Crystal system: orthorhombic
- Symmetry: Pmmm

[3]
DFT (PBE) results for a relaxed CaP2Ir5 crystal. Values from VASP.

The structure in Quantum ESPRESSO input format:
```
&SYSTEM
  ibrav = 0, nat = 8, ntyp = 3
/
ATOMIC_SPECIES
Ca 40.08 Ca.upf
P 30.97 P.upf
Ir 192.22 Ir.upf
CELL_PARAMETERS angstrom
-1.9675 3.4380 4.6864
1.9675 -3.4380 4.6864
1.9675 3.4380 -4.6864
ATOMIC_POSITIONS angstrom
Ca 0.0000 0.0000 0.0000
P 1.9675 0.0000 2.3742
P 0.0000 3.4380 2.3123
Ir 1.9675 2.0401 -1.3949
Ir 1.9675 2.0401 1.3949
Ir 0.0000 3.4380 0.0000
Ir 0.0000 1.3979 3.2916
Ir 0.0000 1.3979 6.0813
```

Properties
- Energy of formation: -4.09 eV/f.u.
- Magnetic moment: 0.0 Bohr magnetons per cell
- Crystal system: orthorhombic
- Symmetry: Immm

Question: The lowest energy of formation belongs to which entry?
Answer: CaP2Ir5